# PuHf4As5 PBE-GGA relaxed
data_PuHf4As5
_space_group_name_H-M_alt 'I m m m'
_space_group_IT_number 71
_space_group_name_Hall '-I 2 2'
_cell_length_a 3.874
_cell_length_b 5.499
_cell_length_c 19.460
_cell_angle_alpha 90.00
_cell_angle_beta 90.00
_cell_angle_gamma 90.00
loop_
_atom_site_label
_atom_site_type_symbol
_atom_site_fract_x
_atom_site_fract_y
_atom_site_fract_z
Pu1 Pu 0.000 0.000 0.000
Hf1 Hf 0.000 0.000 0.203
Hf2 Hf 0.000 0.000 0.399
As1 As 0.000 0.500 0.000
As2 As 0.000 0.500 0.199
As3 As 0.000 0.500 0.394
# calculated volume	20.73	Å³/atom
# Fermi-level density of states	0.872	states/eV per atom


# PuHfAs2Rh5 PBE-GGA relaxed
data_PuHfAs2Rh5
_space_group_name_H-M_alt 'P 4/m m m'
_space_group_IT_number 123
_space_group_name_Hall '-P 4 2'
_cell_length_a 4.048
_cell_length_b 4.048
_cell_length_c 10.912
_cell_angle_alpha 90.00
_cell_angle_beta 90.00
_cell_angle_gamma 90.00
loop_
_atom_site_label
_atom_site_type_symbol
_atom_site_fract_x
_atom_site_fract_y
_atom_site_fract_z
Pu1 Pu 0.000 0.000 0.000
Hf1 Hf 0.000 0.000 0.500
As1 As 0.500 0.500 0.219
Rh1 Rh 0.000 0.500 0.336
Rh2 Rh 0.500 0.500 0.000
# calculated volume	19.86	Å³/atom
# Fermi-level density of states	1.566	states/eV per atom


# PuHf2ScAs4 PBE-GGA relaxed
data_PuHf2ScAs4
_space_group_name_H-M_alt 'P 1 2/m 1'
_space_group_IT_number 10
_space_group_name_Hall '-P 2y'
_cell_length_a 6.753
_cell_length_b 3.910
_cell_length_c 6.820
_cell_angle_alpha 90.00
_cell_angle_beta 109.26
_cell_angle_gamma 90.00
loop_
_atom_site_label
_atom_site_type_symbol
_atom_site_fract_x
_atom_site_fract_y
_atom_site_fract_z
Pu1 Pu 0.000 0.000 0.000
Hf1 Hf 0.000 0.500 0.500
Hf2 Hf 0.500 0.000 0.500
Sc1 Sc 0.500 0.500 0.000
As1 As 0.254 0.000 0.742
As2 As 0.260 0.500 0.262
# calculated volume	21.25	Å³/atom
# Fermi-level density of states	1.481	states/eV per atom


# SmPu2HfAs4 PBE-GGA relaxed
data_SmPu2HfAs4
_space_group_name_H-M_alt 'P 1 2/m 1'
_space_group_IT_number 10
_space_group_name_Hall '-P 2y'
_cell_length_a 7.030
_cell_length_b 4.072
_cell_length_c 7.086
_cell_angle_alpha 90.00
_cell_angle_beta 109.35
_cell_angle_gamma 90.00
loop_
_atom_site_label
_atom_site_type_symbol
_atom_site_fract_x
_atom_site_fract_y
_atom_site_fract_z
Sm1 Sm 0.000 0.000 0.000
Pu1 Pu 0.500 0.000 0.500
Pu2 Pu 0.500 0.500 0.000
Hf1 Hf 0.000 0.500 0.500
As1 As 0.238 0.000 0.733
As2 As 0.248 0.500 0.263
# calculated volume	23.93	Å³/atom
# Fermi-level density of states	2.580	states/eV per atom


# Sr3Pu2HfAs6 PBE-GGA relaxed
data_Sr3Pu2HfAs6
_space_group_name_H-M_alt 'C 1 2/m 1'
_space_group_IT_number 12
_space_group_name_Hall '-C 2y'
_cell_length_a 7.274
_cell_length_b 12.601
_cell_length_c 7.463
_cell_angle_alpha 90.00
_cell_angle_beta 108.99
_cell_angle_gamma 90.00
loop_
_atom_site_label
_atom_site_type_symbol
_atom_site_fract_x
_atom_site_fract_y
_atom_site_fract_z
Sr1 Sr 0.000 0.000 0.000
Sr2 Sr 0.000 0.332 0.000
Pu1 Pu 0.000 0.166 0.500
Hf1 Hf 0.000 0.500 0.500
As1 As 0.232 0.338 0.712
As2 As 0.248 0.000 0.713
# calculated volume	26.95	Å³/atom
# Fermi-level density of states	1.986	states/eV per atom


# Sr3PuHf2As6 PBE-GGA relaxed
data_Sr3PuHf2As6
_space_group_name_H-M_alt 'C 1 2/m 1'
_space_group_IT_number 12
_space_group_name_Hall '-C 2y'
_cell_length_a 7.119
_cell_length_b 12.334
_cell_length_c 7.465
_cell_angle_alpha 90.00
_cell_angle_beta 108.54
_cell_angle_gamma 90.00
loop_
_atom_site_label
_atom_site_type_symbol
_atom_site_fract_x
_atom_site_fract_y
_atom_site_fract_z
Sr1 Sr 0.000 0.000 0.000
Sr2 Sr 0.000 0.335 0.000
Pu1 Pu 0.000 0.500 0.500
Hf1 Hf 0.000 0.167 0.500
As1 As 0.227 0.000 0.711
As2 As 0.243 0.328 0.712
# calculated volume	25.89	Å³/atom
# Fermi-level density of states	1.140	states/eV per atom


# TbPuHf2As4 PBE-GGA relaxed
data_TbPuHf2As4
_space_group_name_H-M_alt 'P 1 2/m 1'
_space_group_IT_number 10
_space_group_name_Hall '-P 2y'
_cell_length_a 6.858
_cell_length_b 3.963
_cell_length_c 6.926
_cell_angle_alpha 90.00
_cell_angle_beta 109.27
_cell_angle_gamma 90.00
loop_
_atom_site_label
_atom_site_type_symbol
_atom_site_fract_x
_atom_site_fract_y
_atom_site_fract_z
Tb1 Tb 0.000 0.000 0.000
Pu1 Pu 0.500 0.500 0.000
Hf1 Hf 0.000 0.500 0.500
Hf2 Hf 0.500 0.000 0.500
As1 As 0.244 0.000 0.731
As2 As 0.256 0.500 0.269
# calculated volume	22.21	Å³/atom
# Fermi-level density of states	1.472	states/eV per atom


# TmPuHf2As4 PBE-GGA relaxed
data_TmPuHf2As4
_space_group_name_H-M_alt 'P 1 2/m 1'
_space_group_IT_number 10
_space_group_name_Hall '-P 2y'
_cell_length_a 6.825
_cell_length_b 3.946
_cell_length_c 6.892
_cell_angle_alpha 90.00
_cell_angle_beta 109.28
_cell_angle_gamma 90.00
loop_
_atom_site_label
_atom_site_type_symbol
_atom_site_fract_x
_atom_site_fract_y
_atom_site_fract_z
Tm1 Tm 0.000 0.000 0.000
Pu1 Pu 0.500 0.500 0.000
Hf1 Hf 0.000 0.500 0.500
Hf2 Hf 0.500 0.000 0.500
As1 As 0.242 0.000 0.734
As2 As 0.253 0.500 0.265
# calculated volume	21.90	Å³/atom
# Fermi-level density of states	1.451	states/eV per atom


Calculated formation energy from the elements (eV per atom), listed in the same order as above: -0.981, -0.500, -1.124, -1.153, -1.050, -1.077, -1.171, -1.159